(1)
Compound: LaCrAu4
Source: Alexandria via LeMat-Bulk
Functional: GGA-PBEsol
Structure: relaxed

abc: 5.5137 5.5137 5.5137
angles: 60.00 60.00 60.00
With the nearest neighbours (Å) after each atom.
Sites, in units of the cell vectors:
1 Au 0.3758 0.3758 0.8727  6 Au 2.74-2.77
2 Au 0.8727 0.3758 0.3758  6 Au 2.74-2.77
3 Au 0.3758 0.8727 0.3758  6 Au 2.74-2.77
4 Au 0.3758 0.3758 0.3758  6 Au 2.74-2.77
5 La 0.0000 0.0000 0.0000  12 Au 3.23, 4 Cr 3.38
6 Cr 0.7500 0.7500 0.7500  12 Au 3.23, 4 La 3.38

(2)
Compound: MgBe
Source: Alexandria via LeMat-Bulk
Functional: GGA-PBEsol
Structure: relaxed

Summary:
Excess energy over the best structure of this formula in the dataset (meV per atom): 94

abc: 2.8712 2.8712 8.7548
angles: 80.56 80.56 60.00
With the nearest neighbours (Å) after each atom.
Sites, in units of the cell vectors:
1 Be 0.6363 0.6363 0.0911  3 Be 2.28
2 Be 0.3637 0.3637 0.9089  3 Be 2.28
3 Mg 0.8860 0.8860 0.3419  3 Be 2.72, 6 Mg 2.87
4 Mg 0.1140 0.1140 0.6581  3 Be 2.72, 6 Mg 2.87

(3)
Compound: Re3Os
Source: Alexandria via LeMat-Bulk
Functional: GGA-PBEsol
Structure: relaxed

abc: 5.4884 5.4884 13.2554
angles: 90.00 90.00 120.00
With the nearest neighbours (Å) after each atom.
Sites, in units of the cell vectors:
1 Re 0.1656 0.8344 0.5839  4 Os 2.71-2.74, 8 Re 2.71-2.76
2 Re 0.4987 0.5013 0.7500  8 Re 2.71-2.77, 4 Os 2.72-2.74
3 Re 0.1656 0.3311 0.5839  4 Os 2.71-2.74, 8 Re 2.71-2.76
4 Re 0.5013 0.0026 0.2500  8 Re 2.71-2.77, 4 Os 2.72-2.74
5 Re 0.1656 0.8344 0.9161  4 Os 2.71-2.74, 8 Re 2.71-2.76
6 Re 0.8344 0.1656 0.0839  4 Os 2.71-2.74, 8 Re 2.71-2.76
7 Re 0.3311 0.1656 0.0839  4 Os 2.71-2.74, 8 Re 2.71-2.76
8 Re 0.3311 0.1656 0.4161  4 Os 2.71-2.74, 8 Re 2.71-2.76
9 Re 0.5013 0.4987 0.2500  8 Re 2.71-2.77, 4 Os 2.72-2.74
10 Re 0.6689 0.8344 0.5839  4 Os 2.71-2.74, 8 Re 2.71-2.76
11 Re 0.8344 0.1656 0.4161  4 Os 2.71-2.74, 8 Re 2.71-2.76
12 Re 0.8344 0.6689 0.4161  4 Os 2.71-2.74, 8 Re 2.71-2.76
13 Re 0.1656 0.3311 0.9161  4 Os 2.71-2.74, 8 Re 2.71-2.76
14 Re 0.9974 0.4987 0.2500  8 Re 2.71-2.77, 4 Os 2.72-2.74
15 Re 0.0026 0.5013 0.7500  8 Re 2.71-2.77, 4 Os 2.72-2.74
16 Re 0.6689 0.8344 0.9161  4 Os 2.71-2.74, 8 Re 2.71-2.76
17 Re 0.8344 0.6689 0.0839  4 Os 2.71-2.74, 8 Re 2.71-2.76
18 Re 0.4987 0.9974 0.7500  8 Re 2.71-2.77, 4 Os 2.72-2.74
19 Os 0.3333 0.6667 0.4158  12 Re 2.72-2.74
20 Os 0.3333 0.6667 0.0842  12 Re 2.72-2.74
21 Os 0.6667 0.3333 0.9158  12 Re 2.72-2.74
22 Os 0.0000 0.0000 0.2500  12 Re 2.71-2.74
23 Os 0.0000 0.0000 0.7500  12 Re 2.71-2.74
24 Os 0.6667 0.3333 0.5842  12 Re 2.72-2.74

Number 1: total DFT energy (no corrections) -5.4320 eV per atom, volume 119 Å³/cell, spin magnetization 0.83 μB per atom. Number 2: total DFT energy (no corrections) -2.3787 eV per atom, volume 61 Å³/cell, spin magnetization 0.00 μB per atom. Number 3: total DFT energy (no corrections) -13.0570 eV per atom, volume 346 Å³/cell, spin magnetization 0.00 μB per atom.